# 1
This record from the Alexandria database describes Er5Zr3N8 after structural relaxation. The functional is PBE.

Calculated values
Its formation energy without anion corrections is -1.784 eV per atom. Its total magnetic moment is 0.000 μB per atom.

The structure in POSCAR format:
```
Er5Zr3N8
1.0
5.8112 0.0000 3.3287
1.9523 5.4735 3.3287
0.0122 0.0086 6.7157
Er Zr N
5 3 8
Direct
0.5000 0.0000 0.0000 Er
0.5000 0.5000 0.0000 Er
0.0000 0.0000 0.0000 Er
0.0000 0.5000 0.0000 Er
0.5000 0.5000 0.5000 Er
0.5000 0.0000 0.5000 Zr
0.0000 0.0000 0.5000 Zr
0.0000 0.5000 0.5000 Zr
0.2500 0.2500 0.7397 N
0.2500 0.7603 0.7397 N
0.7603 0.2500 0.7397 N
0.7542 0.7542 0.7373 N
0.7500 0.7500 0.2603 N
0.7500 0.2397 0.2603 N
0.2397 0.7500 0.2603 N
0.2458 0.2458 0.2627 N
```

=====

# 2
This record from the Alexandria database describes ErZr2N after structural relaxation. The functional is PBE.

Calculated values
Its formation energy without anion corrections is -0.659 eV per atom. Its total magnetic moment is 0.000 μB per atom.

The structure in POSCAR format:
```
ErZr2N
1.0
-2.5465 -2.0700 0.1672
-0.5117 -2.1734 -2.4108
3.9995 -7.2498 3.4476
N Zr Er
1 2 1
Direct
0.5000 0.5000 0.5000 N
0.1195 0.1195 0.6415 Zr
0.8805 0.8805 0.3585 Zr
0.0000 0.0000 0.0000 Er
```

=====

# 3
This record from the Alexandria database describes ErZr3N4 after structural relaxation. The functional is PBE.

Calculated values
Its formation energy without anion corrections is -1.710 eV per atom. Its total magnetic moment is 0.000 μB per atom. Its energy above the most stable polymorph in this dataset is 0.10 eV/f.u.

The structure in POSCAR format:
```
ErZr3N4
1.0
-1.1968 4.1259 -1.8117
-4.3888 -0.6424 1.4363
1.0214 2.0741 4.0488
Er Zr N
1 3 4
Direct
0.0000 0.0000 0.0000 Er
0.0000 0.5000 0.5000 Zr
0.5000 0.0000 0.5000 Zr
0.5000 0.5000 0.0000 Zr
0.5000 0.0000 0.0000 N
0.0000 0.5000 0.0000 N
0.0000 0.0000 0.5000 N
0.5000 0.5000 0.5000 N
```

=====

# 4
This record from the Alexandria database describes ErZr4N6 after structural relaxation. The functional is PBE.

Calculated values
Its formation energy without anion corrections is -1.626 eV per atom. Its total magnetic moment is 0.000 μB per atom.

The structure in POSCAR format:
```
ErZr4N6
1.0
-0.0112 2.7520 -1.6490
-3.4106 0.7563 4.4062
12.7211 5.3968 8.9204
Er Zr N
2 8 12
Direct
0.6477 0.2954 0.2500 Er
0.3523 0.7046 0.7500 Er
0.8693 0.7386 0.5489 Zr
0.3926 0.7851 0.1387 Zr
0.1307 0.2614 0.4511 Zr
0.6074 0.2149 0.8613 Zr
0.8693 0.7386 0.9511 Zr
0.1307 0.2614 0.0489 Zr
0.6074 0.2149 0.6387 Zr
0.3926 0.7851 0.3613 Zr
0.5000 0.0000 0.0000 N
0.5000 0.0000 0.5000 N
0.0357 0.0714 0.3388 N
0.9643 0.9286 0.6612 N
0.9643 0.9286 0.8388 N
0.0357 0.0714 0.1612 N
0.7712 0.5423 0.4177 N
0.2288 0.4577 0.5823 N
0.2288 0.4577 0.9177 N
0.7712 0.5423 0.0823 N
0.3028 0.6056 0.2500 N
0.6972 0.3944 0.7500 N
```

=====

# 5
This record from the Alexandria database describes Er3ZrN4 after structural relaxation. The functional is PBE.

Calculated values
Its formation energy without anion corrections is -1.760 eV per atom. Its total magnetic moment is 0.000 μB per atom. Its energy above the most stable polymorph in this dataset is 0.25 eV/f.u.

The structure in POSCAR format:
```
Er3ZrN4
1.0
4.7760 0.0000 0.0000
0.0000 4.7760 0.0000
0.0000 0.0000 4.7760
Er Zr N
3 1 4
Direct
0.0000 0.5000 0.5000 Er
0.5000 0.0000 0.5000 Er
0.5000 0.5000 0.0000 Er
0.0000 0.0000 0.0000 Zr
0.5000 0.0000 0.0000 N
0.0000 0.5000 0.0000 N
0.0000 0.0000 0.5000 N
0.5000 0.5000 0.5000 N
```

=====

# 6
This record from the Alexandria database describes ErZr5N6 after structural relaxation. The functional is PBE.

Calculated values
Its formation energy without anion corrections is -1.709 eV per atom. Its total magnetic moment is 0.000 μB per atom.

The structure in POSCAR format:
```
ErZr5N6
1.0
5.6323 0.1324 0.8530
1.3796 4.7638 2.7771
0.0936 0.0483 5.6879
N Zr Er
6 5 1
Direct
0.7450 0.0848 0.3367 N
0.2550 0.5784 0.3367 N
0.2511 0.2533 0.0000 N
0.7489 0.7467 0.0000 N
0.7450 0.4216 0.6633 N
0.2550 0.9152 0.6633 N
0.5000 0.1663 0.6674 Zr
0.0000 0.3330 0.3340 Zr
0.5000 0.5000 0.0000 Zr
0.0000 0.6670 0.6660 Zr
0.5000 0.8337 0.3326 Zr
0.0000 0.0000 0.0000 Er
```

=====

Copy entry 2 word for word.
This record from the Alexandria database describes ErZr2N after structural relaxation. The functional is PBE.

Calculated values
Its formation energy without anion corrections is -0.659 eV per atom. Its total magnetic moment is 0.000 μB per atom.

The structure in POSCAR format:
```
ErZr2N
1.0
-2.5465 -2.0700 0.1672
-0.5117 -2.1734 -2.4108
3.9995 -7.2498 3.4476
N Zr Er
1 2 1
Direct
0.5000 0.5000 0.5000 N
0.1195 0.1195 0.6415 Zr
0.8805 0.8805 0.3585 Zr
0.0000 0.0000 0.0000 Er
```